Entry 1:
This record from Alexandria via LeMat-Bulk describes crystalline KAg2Se2 at its relaxed geometry. The functional is GGA-PBEsol.

Calculated values
The value obtained for the energy relative to the elements, uncorrected is -0.427 eV/atom. The calculation puts the total energy at -3.5184 eV per atom.

a = 4.281 Å, b = 4.281 Å, c = 12.751 Å
α = 90.00°, β = 90.00°, γ = 90.00°
Space group I4/mmm (No. 139)
One atom of each set of equivalent atoms:
K: 0.000 0.000 0.000
Ag: 0.000 0.500 0.250
Se: 0.000 0.000 0.375

=====

Entry 2:
This record from Alexandria via LeMat-Bulk describes crystalline TePW at its relaxed geometry. The functional is GGA-PBEsol.

Calculated values
The value obtained for the energy relative to the elements, uncorrected is 0.048 eV/atom. The calculation puts the total energy at -7.6599 eV per atom.

a = 3.3564 Å, b = 3.3564 Å, c = 5.8997 Å
α = 90.00°, β = 90.00°, γ = 120.00°
Space group P3m1 (No. 156)
One atom of each set of equivalent atoms:
Te: 0.0000 0.0000 0.0000
P: 0.6667 0.3333 0.4223
W: 0.3333 0.6667 0.6685

=====

Entry 3:
This record from Alexandria via LeMat-Bulk describes crystalline RbTaPb3 at its relaxed geometry. The functional is GGA-PBEsol.

Calculated values
The calculation puts the total energy at -4.8918 eV per atom. The energy of formation comes out at 0.22 eV/atom.

a = 5.510 Å, b = 5.510 Å, c = 5.510 Å
α = 90.00°, β = 90.00°, γ = 90.00°
Space group Pm-3m (No. 221)
One atom of each set of equivalent atoms:
Rb: 0.000 0.000 0.000
Ta: 0.500 0.500 0.500
Pb: 0.000 0.500 0.500

=====

Entry 4:
This record from Alexandria via LeMat-Bulk describes crystalline La3Cu at its relaxed geometry. The functional is GGA-PBEsol.

Calculated values
The calculation puts the total energy at -4.4572 eV per atom. The energy of formation comes out at 0.64 eV/atom.

a = 5.600 Å, b = 5.600 Å, c = 5.600 Å
α = 90.00°, β = 90.00°, γ = 90.00°
Space group Pm-3m (No. 221)
One atom of each set of equivalent atoms:
La: 0.000 0.000 0.500
Cu: 0.000 0.000 0.000

=====

Entry 5:
This record from Alexandria via LeMat-Bulk describes crystalline AgAu2 at its relaxed geometry. The functional is GGA-PBEsol.

Calculated values
For the energy above the most stable polymorph in this dataset, the calculation gives 0.008 eV per atom. The calculation puts the total energy at -3.7615 eV per atom. The energy of formation comes out at -0.04 eV/atom.

a = 2.853 Å, b = 2.853 Å, c = 12.354 Å
α = 90.00°, β = 90.00°, γ = 90.00°
Space group I4/mmm (No. 139)
One atom of each set of equivalent atoms:
Ag: 0.000 0.000 0.000
Au: 0.000 0.000 0.335

=====

Entry 6:
This record from Alexandria via LeMat-Bulk describes crystalline ScRe2P2 at its relaxed geometry. The functional is GGA-PBEsol.

Calculated values
The calculation puts the total energy at -9.5927 eV per atom. The energy of formation comes out at -0.62 eV/atom.

a = 4.091 Å, b = 4.091 Å, c = 9.081 Å
α = 90.00°, β = 90.00°, γ = 90.00°
Space group I4/mmm (No. 139)
One atom of each set of equivalent atoms:
Sc: 0.000 0.000 0.000
Re: 0.000 0.500 0.250
P: 0.000 0.000 0.376

=====

Entry 7:
This record from Alexandria via LeMat-Bulk describes crystalline CuOsRh2 at its relaxed geometry. The functional is GGA-PBEsol.

Calculated values
For the energy above the most stable polymorph in this dataset, the calculation gives 0.160 eV per atom. The calculation puts the total energy at -8.0230 eV per atom. The energy of formation comes out at 0.18 eV/atom.

a = 3.695 Å, b = 3.695 Å, c = 7.700 Å
α = 90.00°, β = 90.00°, γ = 90.00°
Space group I-4m2 (No. 119)
One atom of each set of equivalent atoms:
Cu: 0.000 0.000 0.000
Os: 0.000 0.500 0.250
Rh: 0.000 0.000 0.500
Rh: 0.000 0.500 0.750

=====

Entry 8:
This record from Alexandria via LeMat-Bulk describes crystalline TiTcPO2 at its relaxed geometry. The functional is GGA-PBEsol.

Calculated values
The value obtained for the energy relative to the elements, uncorrected is -0.862 eV/atom. For the energy above the most stable polymorph in this dataset, the calculation gives 0.000 eV per atom. The calculation puts the total energy at -8.0380 eV per atom.

a = 3.685 Å, b = 3.685 Å, c = 5.294 Å
α = 90.00°, β = 90.00°, γ = 90.00°
Space group P4/mmm (No. 123)
One atom of each set of equivalent atoms:
Ti: 0.000 0.000 0.000
Tc: 0.500 0.500 0.500
P: 0.000 0.000 0.500
O: 0.000 0.500 0.000

=====

Entry 9:
This record from Alexandria via LeMat-Bulk describes crystalline KPb5 at its relaxed geometry. The functional is GGA-PBEsol.

Calculated values
For the energy above the most stable polymorph in this dataset, the calculation gives 0.022 eV per atom. The calculation puts the total energy at -3.5317 eV per atom. The energy of formation comes out at -0.01 eV/atom.

a = 9.188 Å, b = 9.188 Å, c = 9.188 Å
α = 90.00°, β = 90.00°, γ = 90.00°
Space group F-43m (No. 216)
One atom of each set of equivalent atoms:
K: 0.000 0.000 0.000
Pb: 0.125 0.125 0.625
Pb: 0.250 0.250 0.250

=====

Entry 10:
This record from Alexandria via LeMat-Bulk describes crystalline MnBe2Re at its relaxed geometry. The functional is GGA-PBEsol.

Calculated values
For the energy above the most stable polymorph in this dataset, the calculation gives 0.000 eV per atom. The calculation puts the total energy at -7.8806 eV per atom. The energy of formation comes out at -0.11 eV/atom.

a = 5.501 Å, b = 5.501 Å, c = 5.501 Å
α = 90.00°, β = 90.00°, γ = 90.00°
Space group F-43m (No. 216)
One atom of each set of equivalent atoms:
Mn: 0.000 0.000 0.000
Be: 0.000 0.000 0.500
Be: 0.250 0.250 0.250
Re: 0.250 0.250 0.750

=====

Entry 11:
This record from Alexandria via LeMat-Bulk describes crystalline AlTlSn3 at its relaxed geometry. The functional is GGA-PBEsol.

Calculated values
The calculation puts the total energy at -3.5459 eV per atom. The energy of formation comes out at 0.35 eV/atom.

a = 5.267 Å, b = 5.267 Å, c = 5.267 Å
α = 90.00°, β = 90.00°, γ = 90.00°
Space group Pm-3m (No. 221)
One atom of each set of equivalent atoms:
Al: 0.000 0.000 0.000
Tl: 0.500 0.500 0.500
Sn: 0.000 0.000 0.500

=====

Entry 12:
This record from Alexandria via LeMat-Bulk describes crystalline MnPt2W at its relaxed geometry. The functional is GGA-PBEsol.

Calculated values
For the energy above the most stable polymorph in this dataset, the calculation gives 0.009 eV per atom. The calculation puts the total energy at -9.6140 eV per atom. The energy of formation comes out at -0.24 eV/atom.

a = 2.724 Å, b = 3.928 Å, c = 5.365 Å
α = 90.00°, β = 90.00°, γ = 90.00°
Space group Pmmm (No. 47)
One atom of each set of equivalent atoms:
Mn: 0.000 0.000 0.000
Pt: 0.500 0.500 0.249
W: 0.000 0.000 0.500

=====

Entry 13:
This record from Alexandria via LeMat-Bulk describes crystalline Sr2TlF2 at its relaxed geometry. The functional is GGA-PBEsol.

Calculated values
The value obtained for the energy relative to the elements, uncorrected is -2.471 eV/atom. The calculation puts the total energy at -4.5044 eV per atom.

a = 3.989 Å, b = 3.989 Å, c = 14.803 Å
α = 90.00°, β = 90.00°, γ = 90.00°
Space group I4/mmm (No. 139)
One atom of each set of equivalent atoms:
Sr: 0.000 0.000 0.153
Tl: 0.000 0.000 0.500
F: 0.000 0.500 0.250

=====

Entry 14:
This record from Alexandria via LeMat-Bulk describes crystalline RbSrTlAg2 at its relaxed geometry. The functional is GGA-PBEsol.

Calculated values
The calculation puts the total energy at -2.1510 eV per atom. The energy of formation comes out at 0.27 eV/atom.

a = 5.470 Å, b = 5.470 Å, c = 6.017 Å
α = 90.00°, β = 90.00°, γ = 90.00°
Space group P4/mmm (No. 123)
One atom of each set of equivalent atoms:
Rb: 0.000 0.000 0.000
Sr: 0.500 0.500 0.000
Tl: 0.500 0.500 0.500
Ag: 0.000 0.500 0.500

=====

Entry 15:
This record from Alexandria via LeMat-Bulk describes crystalline Mn2SiMo at its relaxed geometry. The functional is GGA-PBEsol.

Calculated values
The value obtained for the energy relative to the elements, uncorrected is 0.078 eV/atom. The calculation puts the total energy at -9.1815 eV per atom.

a = 2.6358 Å, b = 2.6358 Å, c = 24.3370 Å
α = 90.00°, β = 90.00°, γ = 120.00°
Space group R3m (No. 160, hexagonal axes)
One atom of each set of equivalent atoms:
Mn: 0.0000 0.0000 0.0000
Mn: 0.0000 0.0000 0.2595
Si: 0.0000 0.0000 0.7449
Mo: 0.0000 0.0000 0.5030

=====

Entry 16:
This record from Alexandria via LeMat-Bulk describes crystalline MgMnAg2 at its relaxed geometry. The functional is GGA-PBEsol.

Calculated values
The calculation puts the total energy at -4.3894 eV per atom. The energy of formation comes out at 0.14 eV/atom.

a = 9.537 Å, b = 3.010 Å, c = 4.748 Å
α = 90.00°, β = 102.88°, γ = 90.00°
Space group Cm (No. 8)
One atom of each set of equivalent atoms:
Mg: 0.000 0.000 0.000
Mn: 0.242 0.000 0.700
Ag: 0.250 0.500 0.210
Ag: 0.499 0.000 0.502

=====

Entry 17:
This record from Alexandria via LeMat-Bulk describes crystalline Si2TcPb at its relaxed geometry. The functional is GGA-PBEsol.

Calculated values
The value obtained for the energy relative to the elements, uncorrected is 0.600 eV/atom. The calculation puts the total energy at -6.0899 eV per atom.

a = 5.393 Å, b = 7.539 Å, c = 3.283 Å
α = 90.00°, β = 90.00°, γ = 90.00°
Space group Cmmm (No. 65)
One atom of each set of equivalent atoms:
Si: 0.250 0.250 0.000
Tc: 0.000 0.000 0.500
Pb: 0.000 0.500 0.500

=====

Entry 18:
This record from Alexandria via LeMat-Bulk describes crystalline CaAl2P at its relaxed geometry. The functional is GGA-PBEsol.

Calculated values
The calculation puts the total energy at -4.3606 eV per atom. The energy of formation comes out at -0.33 eV/atom.

a = 8.591 Å, b = 3.585 Å, c = 5.542 Å
α = 90.00°, β = 107.48°, γ = 90.00°
Space group Cm (No. 8)
One atom of each set of equivalent atoms:
Ca: 0.000 0.000 0.000
Al: 0.028 0.500 0.526
Al: 0.282 0.500 0.359
P: 0.254 0.000 0.673

=====

Entry 19:
This record from Alexandria via LeMat-Bulk describes crystalline Sb2As at its relaxed geometry. The functional is GGA-PBEsol.

Calculated values
The value obtained for the energy relative to the elements, uncorrected is 0.331 eV/atom. For the energy above the most stable polymorph in this dataset, the calculation gives 0.290 eV per atom. The calculation puts the total energy at -4.4089 eV per atom.

a = 6.868 Å, b = 6.868 Å, c = 6.868 Å
α = 90.00°, β = 90.00°, γ = 90.00°
Space group Fm-3m (No. 225)
One atom of each set of equivalent atoms:
Sb: 0.250 0.250 0.250
As: 0.000 0.000 0.000

=====

Entry 20:
This record from Alexandria via LeMat-Bulk describes crystalline HgBO2 at its relaxed geometry. The functional is GGA-PBEsol.

Calculated values
The value obtained for the energy relative to the elements, uncorrected is -0.721 eV/atom. The calculation puts the total energy at -5.2419 eV per atom.

a = 2.6555 Å, b = 2.6555 Å, c = 19.6652 Å
α = 90.00°, β = 90.00°, γ = 120.00°
Space group R-3m (No. 166, hexagonal axes)
One atom of each set of equivalent atoms:
Hg: 0.0000 0.0000 0.0000
B: 0.0000 0.0000 0.5000
O: 0.0000 0.0000 0.1242